First-principles (PBE) data for a relaxed structure of AcNi, as listed in OQMD.

Structure (CIF):
```
data_AcNi
_cell_length_a 4.9416
_cell_length_b 4.9416
_cell_length_c 5.9892
_cell_angle_alpha 90.00
_cell_angle_beta 90.00
_cell_angle_gamma 120.00
_symmetry_space_group_name_H-M 'P 63/m m c'
_symmetry_Int_Tables_number 194
_symmetry_space_group_name_Hall '-P 6c 2c'
loop_
_atom_site_label
_atom_site_type_symbol
_atom_site_fract_x
_atom_site_fract_y
_atom_site_fract_z
Ac1 Ac 0.3333 0.6667 0.2500
Ni1 Ni 0.3333 0.6667 0.7500
```

Calculated values
* DFT formation energy: 0.09 eV per atom
* raw total energy: -18.998 eV per cell